Material: ScAsBr
Method: DFT, PBE-GGA
State: relaxed

a = 4.7023 Å, b = 4.7023 Å, c = 4.7023 Å
α = 60.00°, β = 60.00°, γ = 60.00°
Closest atoms and distances in Å follow each position.
Fractional positions:
Sc (0.0000, 0.0000, 0.0000)  4 As 2.88, 4 Br 2.88
As (0.2500, 0.2500, 0.2500)  4 Sc 2.88
Br (0.7500, 0.7500, 0.7500)  4 Sc 2.88

Computed properties:
Energy above the most stable polymorph in this dataset, meV per atom: 553
Raw total energy, eV/atom: -4.873
Calculated volume, Å³/cell: 74
Uncorrected formation energy, eV per atom: -0.655